This record from Alexandria describes a relaxed IrPb3Br2O6 crystal. The functional is PBE-GGA.

ΔE_f (raw)   -15.8 kcal/mol of atoms
Space group   C2/m, No. 12
M_tot   1.04 μB/f.u.

Lattice parameters (Å, degrees): 6.5921 6.5921 6.3739 102.23 102.23 61.93
With the nearest neighbours (Å) after each atom.
Positions (direct):
Ir1 0.0000 0.0000 0.0000  6 O 1.99
Pb1 0.0000 0.5000 0.0000  4 O 2.24-2.28
Pb2 0.5000 0.0000 0.0000  4 O 2.24-2.28
Pb3 0.5000 0.5000 0.5000  4 O 2.81, 2 Br 2.96
Br1 0.2694 0.2694 0.6396  3 Pb 2.91-2.96, 1 O 2.94
Br2 0.7306 0.7306 0.3604  3 Pb 2.91-2.96, 1 O 2.94
O1 0.1597 0.7339 0.1719  1 Ir 1.99
O2 0.1736 0.1736 0.1665  1 Ir 1.99
O3 0.2661 0.8403 0.8281  1 Ir 1.99
O4 0.7339 0.1597 0.1719  1 Ir 1.99
O5 0.8264 0.8264 0.8335  1 Ir 1.99
O6 0.8403 0.2661 0.8281  1 Ir 1.99

---

This record from Alexandria describes a relaxed Pm3IrBr2O6 crystal. The functional is PBE-GGA.

ΔE_f (raw)   -42.9 kcal/mol of atoms
Space group   C2/m, No. 12
M_tot   2.03 μB/f.u.

Lattice parameters (Å, degrees): 6.7173 6.7173 5.8634 98.66 98.66 59.99
With the nearest neighbours (Å) after each atom.
Positions (direct):
Pm1 0.0000 0.0000 0.0000  4 O 2.52
Pm2 0.0000 0.5000 0.5000  4 O 2.25-2.38
Pm3 0.5000 0.0000 0.5000  4 O 2.25-2.38
Ir1 0.5000 0.5000 0.5000  6 O 1.97-2.11
Br1 0.2268 0.2268 0.8841  1 O 2.74, 3 Pm 2.84-2.86
Br2 0.7732 0.7732 0.1159  1 O 2.74, 3 Pm 2.84-2.86
O1 0.2120 0.6813 0.6966  1 Ir 2.11
O2 0.3187 0.7880 0.3034  1 Ir 2.11
O3 0.3363 0.3363 0.3380  1 Ir 1.97
O4 0.6637 0.6637 0.6620  1 Ir 1.97
O5 0.6813 0.2120 0.6966  1 Ir 2.11
O6 0.7880 0.3187 0.3034  1 Ir 2.11

---

This record from Alexandria describes a relaxed IrRhBr2O crystal. The functional is PBE-GGA.

ΔE_f (raw)   20.7 kcal/mol of atoms
Space group   P4/mmm, No. 123
M_tot   2.65 μB/f.u.

Lattice parameters (Å, degrees): 5.5357 5.5357 3.5803 90.00 90.00 90.00
With the nearest neighbours (Å) after each atom.
Positions (direct):
Ir1 0.0000 0.0000 0.0000  2 O 1.79
Rh1 0.5000 0.5000 0.0000  8 Br 3.30, 2 Rh 3.58
Br1 0.0000 0.5000 0.5000  2 O 2.77
Br2 0.5000 0.0000 0.5000  2 O 2.77
O1 0.0000 0.0000 0.5000  2 Ir 1.79